Record 1
10
Lattice="3.429 0.000 4.846 -1.714 2.969 4.846 -1.714 -2.969 4.846" Properties=species:S:1:pos:R:3 comment="CaHPd3 PBE optimized geometry" final_energy_ev_per_atom=-4.6917 polymorph_energy_mev_per_atom=24 n_ef_per_ev_cell=2.94 magmom_total_mub_per_atom=0.0000 pbc="T T T"
H 0.000 0.000 1.161
H 0.000 0.000 13.378
Ca 0.000 0.000 3.616
Ca 0.000 0.000 10.923
Pd -0.821 -1.422 6.067
Pd -0.821 1.422 6.067
Pd -1.642 0.000 8.472
Pd 0.821 -1.422 8.472
Pd 0.821 1.422 8.472
Pd 1.642 0.000 6.067



Record 2
12
Lattice="5.910 -0.925 0.000 -4.080 6.660 0.000 0.000 0.000 9.494" Properties=species:S:1:pos:R:3 comment="Ca4HPd PBE optimized geometry" final_energy_ev_per_atom=-3.1315 polymorph_energy_mev_per_atom=45 n_ef_per_ev_cell=5.18 magmom_total_mub_per_atom=0.0000 pbc="T T T"
Ca 0.456 4.503 7.121
Ca 1.374 1.233 2.374
Ca 1.687 0.677 7.121
Ca 0.143 5.058 2.374
Ca -2.913 4.780 0.387
Ca 4.744 0.955 5.134
Ca -2.913 4.780 4.360
Ca 4.744 0.955 9.107
H 5.328 -0.024 7.121
H -3.497 5.759 2.374
Pd 3.407 3.134 7.121
Pd -1.577 2.601 2.374



Record 3
20
Lattice="1.460 -1.311 6.514 0.519 5.108 4.465 -4.763 0.831 4.787" Properties=species:S:1:pos:R:3 comment="CaH3Pd PBE optimized geometry" final_energy_ev_per_atom=-3.6746 n_ef_per_ev_cell=3.61 magmom_total_mub_per_atom=0.0000 pbc="T T T"
H -0.286 0.907 7.352
H -0.982 2.064 11.294
H -3.395 2.895 10.624
H -3.194 4.876 12.356
H -2.829 2.386 13.151
H -2.133 1.230 9.209
H -1.347 4.554 10.499
H -0.780 4.045 13.026
H -0.651 3.397 6.557
H -2.498 3.719 8.414
H -2.699 1.738 6.682
H -0.084 2.889 9.084
Ca -0.348 0.578 1.971
Ca -0.089 3.132 4.203
Ca 0.382 -0.077 5.228
Ca -2.729 0.994 4.364
Pd -1.740 2.892 9.854
Pd -1.999 0.338 7.622
Pd -2.470 3.547 6.597
Pd 0.641 2.476 7.460



Record 4
10
Lattice="4.960 0.006 -0.050 -0.001 3.954 -0.008 -2.390 0.427 6.114" Properties=species:S:1:pos:R:3 comment="CaH3Pd PBE optimized geometry" final_energy_ev_per_atom=-3.9066 n_ef_per_ev_cell=0.73 magmom_total_mub_per_atom=0.0000 pbc="T T T"
H 4.199 1.424 1.751
H 1.630 2.663 3.944
H 1.410 1.400 1.772
H -0.906 2.660 3.980
H 1.589 0.587 5.693
H -0.835 0.583 5.708
Ca 2.837 0.603 3.624
Ca 0.382 2.647 6.013
Pd 0.301 0.543 0.680
Pd 0.348 2.274 2.894



Record 5
20
Lattice="3.059 0.000 0.000 0.000 6.970 0.182 0.000 -2.188 8.923" Properties=species:S:1:pos:R:3 comment="CaH6Pd3 PBE optimized geometry" final_energy_ev_per_atom=-3.9376 polymorph_energy_mev_per_atom=110 n_ef_per_ev_cell=3.42 magmom_total_mub_per_atom=0.0000 pbc="T T T"
Ca 2.295 -1.377 6.258
Ca 0.765 6.160 2.848
H 2.295 2.285 5.411
H 0.765 2.498 3.695
H 2.295 6.242 0.962
H 0.765 -1.460 8.143
H 2.295 2.815 0.524
H 0.765 1.967 8.582
H 2.295 4.220 2.338
H 0.765 0.562 6.768
H 2.295 0.228 4.398
H 0.765 4.554 4.708
H 2.295 3.353 7.526
H 0.765 1.429 1.580
Pd 2.295 1.394 7.626
Pd 0.765 3.388 1.480
Pd 2.295 3.595 4.111
Pd 0.765 1.188 4.994
Pd 2.295 1.008 0.667
Pd 0.765 3.774 8.439



Record 6
12
Lattice="4.266 0.000 0.000 2.133 3.694 0.000 2.133 1.231 8.517" Properties=species:S:1:pos:R:3 comment="CaPmH8Pd2 PBE optimized geometry" final_energy_ev_per_atom=-3.8375 n_ef_per_ev_cell=3.30 magmom_total_mub_per_atom=0.0000 pbc="T T T"
Ca 4.266 2.463 4.258
Pm 0.000 0.000 0.000
H 2.133 1.231 3.811
H 3.308 1.910 1.084
H 6.398 3.694 4.706
H 5.224 1.910 1.084
H 3.307 3.016 7.433
H 4.266 3.569 1.084
H 4.266 1.356 7.433
H 5.224 3.016 7.433
Pd 2.133 1.231 2.093
Pd 6.398 3.694 6.424